i | # Pr6Sm3Y, optimized geometry, DFT PBE
# Calculated density in g/cm3: 6.51
# Calculated volume in Å³/f.u.: 353
data_Pr6Sm3Y
_cell_length_a 11.0244
_cell_length_b 19.5061
_cell_length_c 6.5723
_cell_angle_alpha 90.00
_cell_angle_beta 90.00
_cell_angle_gamma 90.00
_space_group_name_H-M_alt 'C m c 21'
_space_group_IT_number 36
loop_
_space_group_symop_operation_xyz
'x,y,z'
'-x,-y,z+1/2'
'-x,y,z'
'x,-y,z+1/2'
'x+1/2,y+1/2,z'
'-x+1/2,-y+1/2,z+1/2'
'-x+1/2,y+1/2,z'
'x+1/2,-y+1/2,z+1/2'
loop_
_atom_site_label
_atom_site_fract_x
_atom_site_fract_y
_atom_site_fract_z
Pr1 0.0000 0.0316 0.0000
Pr2 0.0000 0.2803 0.7959
Pr3 0.1714 0.4582 0.6960
Pr4 0.2293 0.2903 0.5021
Sm1 0.0000 0.3845 0.2252
Sm2 0.1732 0.1169 0.6075
Y1 0.0000 0.1885 0.2465

---

ii | # Pr6Sm3Y, optimized geometry, DFT PBE
# Calculated density in g/cm3: 6.36
# Calculated volume in Å³/f.u.: 362
data_Pr6Sm3Y
_cell_length_a 11.4689
_cell_length_b 7.1984
_cell_length_c 8.9804
_cell_angle_alpha 90.00
_cell_angle_beta 102.61
_cell_angle_gamma 90.00
_space_group_name_H-M_alt 'C 1 2/m 1'
_space_group_IT_number 12
loop_
_space_group_symop_operation_xyz
'x,y,z'
'-x,-y,-z'
'-x,y,-z'
'x,-y,z'
'x+1/2,y+1/2,z'
'-x+1/2,-y+1/2,-z'
'-x+1/2,y+1/2,-z'
'x+1/2,-y+1/2,z'
loop_
_atom_site_label
_atom_site_fract_x
_atom_site_fract_y
_atom_site_fract_z
Pr1 0.1588 0.0000 0.4934
Pr2 0.2449 0.2248 0.1897
Sm1 0.0000 0.5000 0.5000
Sm2 0.0397 0.0000 0.8439
Y1 0.0000 0.5000 0.0000

---

Quick look at relative energies in eV/atom: i 0.000; ii 0.116.

---

i | # Pr2Sm3Y3, optimized geometry, DFT PBE
# Calculated density in g/cm3: 6.15
# Calculated volume in Å³/f.u.: 270
data_Pr2Sm3Y3
_cell_length_a 24.2912
_cell_length_b 3.6484
_cell_length_c 6.3102
_cell_angle_alpha 90.00
_cell_angle_beta 105.04
_cell_angle_gamma 90.00
_space_group_name_H-M_alt 'C 1 2/m 1'
_space_group_IT_number 12
loop_
_space_group_symop_operation_xyz
'x,y,z'
'-x,-y,-z'
'-x,y,-z'
'x,-y,z'
'x+1/2,y+1/2,z'
'-x+1/2,-y+1/2,-z'
'-x+1/2,y+1/2,-z'
'x+1/2,-y+1/2,z'
loop_
_atom_site_label
_atom_site_fract_x
_atom_site_fract_y
_atom_site_fract_z
Pr1 0.2500 0.0000 0.2499
Sm1 0.0000 0.0000 0.0000
Sm2 0.1239 0.0000 0.4564
Y1 0.0000 0.5000 0.5000
Y2 0.1238 0.5000 0.9570

---

ii | # Pr2Sm3Y3, optimized geometry, DFT PBE
# Calculated density in g/cm3: 6.14
# Calculated volume in Å³/f.u.: 270
data_Pr2Sm3Y3
_cell_length_a 5.1413
_cell_length_b 5.1424
_cell_length_c 20.4553
_cell_angle_alpha 90.00
_cell_angle_beta 90.00
_cell_angle_gamma 90.00
_space_group_name_H-M_alt 'I m m m'
_space_group_IT_number 71
_space_group_name_Hall '-I 2 2'
loop_
_atom_site_label
_atom_site_fract_x
_atom_site_fract_y
_atom_site_fract_z
Pr1 0.0000 0.0000 0.2501
Sm1 0.0000 0.0000 0.0000
Sm2 0.0000 0.5000 0.1231
Y1 0.0000 0.0000 0.5000
Y2 0.0000 0.5000 0.3764

---

Quick look at relative energies in eV/atom: i 0.000; ii 0.017.

---

i | # Pr7Sm4Y, optimized geometry, DFT PBE
# Calculated density in g/cm3: 6.58
# Calculated volume in Å³/f.u.: 423
data_Pr7Sm4Y
_cell_length_a 6.4146
_cell_length_b 7.4068
_cell_length_c 9.1581
_cell_angle_alpha 89.99
_cell_angle_beta 76.50
_cell_angle_gamma 89.99
_space_group_name_H-M_alt 'P -1'
_space_group_IT_number 2
loop_
_space_group_symop_operation_xyz
'x,y,z'
'-x,-y,-z'
loop_
_atom_site_label
_atom_site_fract_x
_atom_site_fract_y
_atom_site_fract_z
Pr1 0.0000 0.0000 0.0000
Pr2 0.2226 0.5000 0.3336
Pr3 0.2782 0.2487 0.6676
Pr4 0.4995 0.7506 0.9991
Sm1 0.2220 0.0002 0.3335
Sm2 0.2772 0.7511 0.6688
Y1 0.0000 0.5000 0.0000

---

ii | # Pr7Sm4Y, optimized geometry, DFT PBE
# Calculated density in g/cm3: 6.47
# Calculated volume in Å³/f.u.: 430
data_Pr7Sm4Y
_cell_length_a 16.4393
_cell_length_b 6.1217
_cell_length_c 9.5057
_cell_angle_alpha 90.00
_cell_angle_beta 115.92
_cell_angle_gamma 90.00
_space_group_name_H-M_alt 'C 1 2/m 1'
_space_group_IT_number 12
loop_
_space_group_symop_operation_xyz
'x,y,z'
'-x,-y,-z'
'-x,y,-z'
'x,-y,z'
'x+1/2,y+1/2,z'
'-x+1/2,-y+1/2,-z'
'-x+1/2,y+1/2,-z'
'x+1/2,-y+1/2,z'
loop_
_atom_site_label
_atom_site_fract_x
_atom_site_fract_y
_atom_site_fract_z
Pr1 0.0000 0.0000 0.0000
Pr2 0.0832 0.5000 0.4415
Pr3 0.2093 0.5000 0.8786
Pr4 0.2097 0.5000 0.2290
Sm1 0.0723 0.0000 0.6981
Sm2 0.1721 0.0000 0.3874
Y1 0.0000 0.5000 0.0000

---

Quick look at relative energies in eV/atom: i 0.000; ii 0.198.

---

i | # PrSm4Y2, optimized geometry, DFT PBE
# Calculated density in g/cm3: 6.48
# Calculated volume in Å³/f.u.: 236
data_PrSm4Y2
_cell_length_a 6.2541
_cell_length_b 6.6455
_cell_length_c 11.6883
_cell_angle_alpha 90.00
_cell_angle_beta 104.03
_cell_angle_gamma 90.00
_space_group_name_H-M_alt 'P 1 21/m 1'
_space_group_IT_number 11
loop_
_space_group_symop_operation_xyz
'x,y,z'
'-x,-y,-z'
'-x,y+1/2,-z'
'x,-y+1/2,z'
loop_
_atom_site_label
_atom_site_fract_x
_atom_site_fract_y
_atom_site_fract_z
Pr1 0.0248 0.2500 0.3501
Sm1 0.1543 0.2500 0.6525
Sm2 0.2965 0.7500 0.9358
Sm3 0.3613 0.5055 0.2124
Y1 0.1428 0.2500 0.9419
Y2 0.3957 0.7500 0.5017

---

ii | # PrSm4Y2, optimized geometry, DFT PBE
# Calculated density in g/cm3: 6.35
# Calculated volume in Å³/f.u.: 240
data_PrSm4Y2
_cell_length_a 3.5828
_cell_length_b 5.7952
_cell_length_c 23.1615
_cell_angle_alpha 90.00
_cell_angle_beta 90.00
_cell_angle_gamma 90.00
_space_group_name_H-M_alt 'I m m m'
_space_group_IT_number 71
_space_group_name_Hall '-I 2 2'
loop_
_atom_site_label
_atom_site_fract_x
_atom_site_fract_y
_atom_site_fract_z
Pr1 0.0000 0.0000 0.0000
Sm1 0.0000 0.5000 0.0881
Sm2 0.0000 0.5000 0.3623
Y1 0.0000 0.0000 0.2748

---

Quick look at relative energies in eV/atom: i 0.032; ii 0.000.

---

i | # Pr3Sm3Y, optimized geometry, DFT PBE
# Calculated density in g/cm3: 6.52
# Calculated volume in Å³/f.u.: 245
data_Pr3Sm3Y
_cell_length_a 9.8078
_cell_length_b 9.8078
_cell_length_c 5.8831
_cell_angle_alpha 90.00
_cell_angle_beta 90.00
_cell_angle_gamma 120.00
_space_group_name_H-M_alt 'P 63/m'
_space_group_IT_number 176
_space_group_name_Hall '-P 6c'
loop_
_atom_site_label
_atom_site_fract_x
_atom_site_fract_y
_atom_site_fract_z
Pr1 0.0946 0.4738 0.2500
Sm1 0.0444 0.2365 0.7500
Y1 0.3333 0.6667 0.7500

---

ii | # Pr3Sm3Y, optimized geometry, DFT PBE
# Calculated density in g/cm3: 6.39
# Calculated volume in Å³/f.u.: 250
data_Pr3Sm3Y
_cell_length_a 8.8068
_cell_length_b 8.8068
_cell_length_c 22.3556
_cell_angle_alpha 90.00
_cell_angle_beta 90.00
_cell_angle_gamma 120.00
_space_group_name_H-M_alt 'R -3'
_space_group_IT_number 148
_space_group_name_Hall '-R 3'
loop_
_atom_site_label
_atom_site_fract_x
_atom_site_fract_y
_atom_site_fract_z
Pr1 0.0033 0.2403 0.0590
Sm1 0.0515 0.4495 0.8802
Y1 0.0000 0.0000 0.3458

---

Quick look at relative energies in eV/atom: i 0.000; ii 0.198.

---

i | # Pr3Sm4Y5, optimized geometry, DFT PBE
# Calculated density in g/cm3: 6.03
# Calculated volume in Å³/f.u.: 404
data_Pr3Sm4Y5
_cell_length_a 6.2788
_cell_length_b 7.2500
_cell_length_c 8.8791
_cell_angle_alpha 90.00
_cell_angle_beta 89.86
_cell_angle_gamma 89.82
_space_group_name_H-M_alt 'P -1'
_space_group_IT_number 2
loop_
_space_group_symop_operation_xyz
'x,y,z'
'-x,-y,-z'
loop_
_atom_site_label
_atom_site_fract_x
_atom_site_fract_y
_atom_site_fract_z
Pr1 0.0000 0.0000 0.0000
Pr2 0.1666 0.2505 0.3327
Sm1 0.1680 0.7489 0.3324
Sm2 0.3320 0.4998 0.6668
Y1 0.0000 0.5000 0.0000
Y2 0.3337 0.0002 0.6681
Y3 0.4990 0.7499 0.0002

---

ii | # Pr3Sm4Y5, optimized geometry, DFT PBE
# Calculated density in g/cm3: 5.90
# Calculated volume in Å³/f.u.: 413
data_Pr3Sm4Y5
_cell_length_a 16.2656
_cell_length_b 6.0199
_cell_length_c 9.4078
_cell_angle_alpha 90.00
_cell_angle_beta 116.18
_cell_angle_gamma 90.00
_space_group_name_H-M_alt 'C 1 2/m 1'
_space_group_IT_number 12
loop_
_space_group_symop_operation_xyz
'x,y,z'
'-x,-y,-z'
'-x,y,-z'
'x,-y,z'
'x+1/2,y+1/2,z'
'-x+1/2,-y+1/2,-z'
'-x+1/2,y+1/2,-z'
'x+1/2,-y+1/2,z'
loop_
_atom_site_label
_atom_site_fract_x
_atom_site_fract_y
_atom_site_fract_z
Pr1 0.0000 0.0000 0.0000
Pr2 0.2094 0.5000 0.2316
Sm1 0.0834 0.5000 0.4448
Sm2 0.2102 0.5000 0.8801
Y1 0.0000 0.5000 0.0000
Y2 0.0727 0.0000 0.6991
Y3 0.1714 0.0000 0.3875

---

Quick look at relative energies in eV/atom: i 0.000; ii 0.203.

---

i | # Pr2SmY5, optimized geometry, DFT PBE
# Calculated density in g/cm3: 5.42
# Calculated volume in Å³/f.u.: 268
data_Pr2SmY5
_cell_length_a 16.3814
_cell_length_b 10.0156
_cell_length_c 6.6209
_cell_angle_alpha 90.00
_cell_angle_beta 98.70
_cell_angle_gamma 90.00
_space_group_name_H-M_alt 'C 1 2/c 1'
_space_group_IT_number 15
loop_
_space_group_symop_operation_xyz
'x,y,z'
'-x,-y,-z'
'-x,y,-z+1/2'
'x,-y,z+1/2'
'x+1/2,y+1/2,z'
'-x+1/2,-y+1/2,-z'
'-x+1/2,y+1/2,-z+1/2'
'x+1/2,-y+1/2,z+1/2'
loop_
_atom_site_label
_atom_site_fract_x
_atom_site_fract_y
_atom_site_fract_z
Pr1 0.0795 0.2463 0.1194
Sm1 0.2500 0.2500 0.0000
Y1 0.0000 0.4391 0.7500
Y2 0.0993 0.0879 0.6469
Y3 0.1983 0.4116 0.5272

---

ii | # Pr2SmY5, optimized geometry, DFT PBE
# Calculated density in g/cm3: 5.46
# Calculated volume in Å³/f.u.: 267
data_Pr2SmY5
_cell_length_a 7.2250
_cell_length_b 14.4533
_cell_length_c 5.1107
_cell_angle_alpha 90.00
_cell_angle_beta 90.00
_cell_angle_gamma 90.00
_space_group_name_H-M_alt 'P b a m'
_space_group_IT_number 55
loop_
_space_group_symop_operation_xyz
'x,y,z'
'-x,-y,-z'
'-x,-y,z'
'x,y,-z'
'x+1/2,-y+1/2,-z'
'-x+1/2,y+1/2,z'
'-x+1/2,y+1/2,-z'
'x+1/2,-y+1/2,z'
loop_
_atom_site_label
_atom_site_fract_x
_atom_site_fract_y
_atom_site_fract_z
Pr1 0.2495 0.1250 0.0000
Sm1 0.0000 0.5000 0.5000
Y1 0.0000 0.0000 0.5000
Y2 0.0010 0.7500 0.5000
Y3 0.2486 0.3750 0.0000

---

Quick look at relative energies in eV/atom: i 0.132; ii 0.000.

---

i | # PrSm4Y7, optimized geometry, DFT PBE
# Calculated density in g/cm3: 5.65
# Calculated volume in Å³/f.u.: 401
data_PrSm4Y7
_cell_length_a 6.6052
_cell_length_b 6.8930
_cell_length_c 9.1492
_cell_angle_alpha 85.40
_cell_angle_beta 76.96
_cell_angle_gamma 81.89
_space_group_name_H-M_alt 'P -1'
_space_group_IT_number 2
loop_
_space_group_symop_operation_xyz
'x,y,z'
'-x,-y,-z'
loop_
_atom_site_label
_atom_site_fract_x
_atom_site_fract_y
_atom_site_fract_z
Pr1 0.0000 0.0000 0.0000
Sm1 0.1626 0.6155 0.3091
Sm2 0.3613 0.1875 0.7145
Y1 0.0000 0.5000 0.0000
Y2 0.1872 0.1072 0.3844
Y3 0.3217 0.6926 0.6392
Y4 0.4867 0.2507 0.0490

---

ii | # PrSm4Y7, optimized geometry, DFT PBE
# Calculated density in g/cm3: 5.50
# Calculated volume in Å³/f.u.: 412
data_PrSm4Y7
_cell_length_a 12.2126
_cell_length_b 5.9362
_cell_length_c 12.8193
_cell_angle_alpha 90.00
_cell_angle_beta 117.51
_cell_angle_gamma 90.00
_space_group_name_H-M_alt 'C 1 2/m 1'
_space_group_IT_number 12
loop_
_space_group_symop_operation_xyz
'x,y,z'
'-x,-y,-z'
'-x,y,-z'
'x,-y,z'
'x+1/2,y+1/2,z'
'-x+1/2,-y+1/2,-z'
'-x+1/2,y+1/2,-z'
'x+1/2,-y+1/2,z'
loop_
_atom_site_label
_atom_site_fract_x
_atom_site_fract_y
_atom_site_fract_z
Pr1 0.0000 0.0000 0.0000
Sm1 0.1366 0.5000 0.7759
Sm2 0.2343 0.0000 0.6738
Y1 0.0000 0.5000 0.0000
Y2 0.0646 0.0000 0.3210
Y3 0.1332 0.5000 0.4990
Y4 0.2103 0.0000 0.9224

---

Quick look at relative energies in eV/atom: i 0.000; ii 0.184.